[1]
# AlAs2Ir

An optimized crystal structure of AlAs2Ir (GGA-PBE, Alexandria via LeMat-Bulk).

Output
space group: Cmmm, No. 65
formation enthalpy at 0 K: 219 meV/atom

a b c (Å): 2.903 2.903 9.595
angles (deg): 90.00 90.00 121.12
Positions (direct):
Al: 0.000 0.000 0.000
As: 0.500 0.500 0.273
As: 0.500 0.500 0.727
Ir: 0.000 0.000 0.500

***

[2]
# YCr2Mo

An optimized crystal structure of YCr2Mo (GGA-PBE, Alexandria via LeMat-Bulk).

Output
distance to the lowest polymorph of the same formula: 14.5 kJ per mole of atoms
space group: Fm-3m, No. 225
formation enthalpy at 0 K: 505 meV/atom

a b c (Å): 4.565 4.565 4.565
angles (deg): 60.00 60.00 60.00
Positions (direct):
Y: 0.000 0.000 0.000
Cr: 0.250 0.250 0.250
Cr: 0.750 0.750 0.750
Mo: 0.500 0.500 0.500

***

[3]
# CaLa2AlH

An optimized crystal structure of CaLa2AlH (GGA-PBE, Alexandria via LeMat-Bulk).

Output
distance to the lowest polymorph of the same formula: 8.1 kJ per mole of atoms
space group: P4/mmm, No. 123

a b c (Å): 5.072 5.072 4.807
angles (deg): 90.00 90.00 90.00
Positions (direct):
Ca: 0.000 0.000 0.000
La: 0.000 0.500 0.500
La: 0.500 0.000 0.500
Al: 0.500 0.500 0.000
H: 0.500 0.500 0.500

***

[4]
# MnGa2Pb2

An optimized crystal structure of MnGa2Pb2 (GGA-PBE, Alexandria via LeMat-Bulk).

Output
distance to the lowest polymorph of the same formula: 0.0 kJ per mole of atoms
space group: P4/mbm, No. 127
formation enthalpy at 0 K: 387 meV/atom

a b c (Å): 7.687 7.687 4.247
angles (deg): 90.00 90.00 90.00
Positions (direct):
Mn: 0.000 0.000 0.000
Mn: 0.500 0.500 0.000
Ga: 0.132 0.368 0.500
Ga: 0.368 0.868 0.500
Ga: 0.632 0.132 0.500
Ga: 0.868 0.632 0.500
Pb: 0.169 0.669 0.000
Pb: 0.331 0.169 0.000
Pb: 0.669 0.831 0.000
Pb: 0.831 0.331 0.000

***

[5]
# Mg14CdSi

An optimized crystal structure of Mg14CdSi (GGA-PBE, Alexandria via LeMat-Bulk).

Output
distance to the lowest polymorph of the same formula: 0.0 kJ per mole of atoms
formation energy (no corrections): 0.10 eV/f.u.
space group: P-6m2, No. 187

a b c (Å): 6.335 6.335 10.055
angles (deg): 90.00 90.00 120.00
Positions (direct):
Mg: 0.000 0.000 0.248
Mg: 0.000 0.000 0.752
Mg: 0.004 0.502 0.242
Mg: 0.004 0.502 0.758
Mg: 0.330 0.165 0.000
Mg: 0.334 0.167 0.500
Mg: 0.498 0.502 0.242
Mg: 0.498 0.502 0.758
Mg: 0.498 0.996 0.242
Mg: 0.498 0.996 0.758
Mg: 0.833 0.167 0.500
Mg: 0.833 0.666 0.500
Mg: 0.835 0.165 0.000
Mg: 0.835 0.670 0.000
Cd: 0.333 0.667 0.500
Si: 0.333 0.667 0.000

***

[6]
# KHf3Mn

An optimized crystal structure of KHf3Mn (GGA-PBE, Alexandria via LeMat-Bulk).

Output
distance to the lowest polymorph of the same formula: 183.9 kJ per mole of atoms
space group: Pm-3m, No. 221
formation enthalpy at 0 K: 2603 meV/atom

a b c (Å): 4.738 4.738 4.738
angles (deg): 90.00 90.00 90.00
Positions (direct):
K: 0.000 0.000 0.000
Hf: 0.000 0.000 0.500
Hf: 0.000 0.500 0.000
Hf: 0.500 0.000 0.000
Mn: 0.500 0.500 0.500

***

[7]
# Tb3Nd3Tm2

An optimized crystal structure of Tb3Nd3Tm2 (GGA-PBE, Alexandria via LeMat-Bulk).

Output
space group: C2/m, No. 12
formation enthalpy at 0 K: 80 meV/atom

a b c (Å): 8.696 8.696 6.001
angles (deg): 109.41 109.41 38.42
Positions (direct):
Tb: 0.000 0.000 0.000
Tb: 0.134 0.134 0.581
Tb: 0.866 0.866 0.419
Nd: 0.365 0.365 0.805
Nd: 0.500 0.500 0.500
Nd: 0.635 0.635 0.195
Tm: 0.250 0.250 0.182
Tm: 0.750 0.750 0.818

***

[8]
# Y2RuSe

An optimized crystal structure of Y2RuSe (GGA-PBE, Alexandria via LeMat-Bulk).

Output
formation energy (no corrections): -2.30 eV/f.u.
space group: R3m, No. 160

a b c (Å): 6.794 6.794 6.794
angles (deg): 36.78 36.78 36.78
Positions (direct):
Y: 0.000 0.000 0.000
Y: 0.178 0.178 0.178
Ru: 0.765 0.765 0.765
Se: 0.412 0.412 0.412

***

[9]
# YZn2Os

An optimized crystal structure of YZn2Os (GGA-PBE, Alexandria via LeMat-Bulk).

Output
distance to the lowest polymorph of the same formula: 28.4 kJ per mole of atoms
space group: Cmmm, No. 65
formation enthalpy at 0 K: 170 meV/atom

a b c (Å): 4.660 4.660 3.349
angles (deg): 90.00 90.00 106.78
Positions (direct):
Y: 0.000 0.000 0.000
Zn: 0.000 0.500 0.500
Zn: 0.500 0.000 0.500
Os: 0.500 0.500 0.000

***

[10]
# Pr6Ni2Ru

An optimized crystal structure of Pr6Ni2Ru (GGA-PBE, Alexandria via LeMat-Bulk).

Output
space group: Immm, No. 71
formation enthalpy at 0 K: -152 meV/atom

a b c (Å): 8.566 8.566 8.566
angles (deg): 110.78 109.35 108.30
Positions (direct):
Pr: 0.054 0.821 0.233
Pr: 0.167 0.317 0.484
Pr: 0.167 0.683 0.850
Pr: 0.330 0.088 0.758
Pr: 0.330 0.572 0.242
Pr: 0.412 0.179 0.233
Pr: 0.588 0.821 0.767
Pr: 0.670 0.428 0.758
Pr: 0.670 0.912 0.242
Pr: 0.833 0.317 0.150
Pr: 0.833 0.683 0.516
Pr: 0.946 0.179 0.767
Ni: 0.186 0.686 0.500
Ni: 0.383 0.500 0.883
Ni: 0.617 0.500 0.117
Ni: 0.814 0.314 0.500
Ru: 0.000 0.000 0.000
Ru: 0.500 0.000 0.500

***

[11]
# CuSn2S4

An optimized crystal structure of CuSn2S4 (GGA-PBE, Alexandria via LeMat-Bulk).

Output
distance to the lowest polymorph of the same formula: 7.8 kJ per mole of atoms
formation energy (no corrections): -1.81 eV/f.u.
space group: Imma, No. 74

a b c (Å): 7.510 7.510 7.510
angles (deg): 120.97 113.23 95.22
Positions (direct):
Cu: 0.500 0.000 0.000
Cu: 0.500 0.500 0.500
Sn: 0.000 0.000 0.000
Sn: 0.035 0.285 0.750
Sn: 0.500 0.000 0.500
Sn: 0.965 0.715 0.250
S: 0.206 0.185 0.479
S: 0.206 0.726 0.021
S: 0.316 0.746 0.571
S: 0.325 0.254 0.071
S: 0.675 0.746 0.929
S: 0.684 0.254 0.429
S: 0.794 0.274 0.979
S: 0.794 0.815 0.521

***

[12]
# Ba2SbPPb

An optimized crystal structure of Ba2SbPPb (GGA-PBE, Alexandria via LeMat-Bulk).

Output
formation energy (no corrections): -3.90 eV/f.u.
space group: P2_1/m, No. 11

a b c (Å): 9.244 4.642 9.590
angles (deg): 90.00 101.78 90.00
Positions (direct):
Ba: 0.149 0.250 0.395
Ba: 0.291 0.250 0.887
Ba: 0.709 0.750 0.113
Ba: 0.851 0.750 0.605
Sb: 0.344 0.750 0.177
Sb: 0.656 0.250 0.823
P: 0.195 0.750 0.648
P: 0.805 0.250 0.352
Pb: 0.482 0.750 0.634
Pb: 0.518 0.250 0.366

***

[13]
# DyErHgBi

An optimized crystal structure of DyErHgBi (GGA-PBE, Alexandria via LeMat-Bulk).

Output
space group: F-43m, No. 216
formation enthalpy at 0 K: -473 meV/atom

a b c (Å): 5.364 5.364 5.364
angles (deg): 60.00 60.00 60.00
Positions (direct):
Dy: 0.000 0.000 0.000
Er: 0.500 0.500 0.500
Hg: 0.750 0.750 0.750
Bi: 0.250 0.250 0.250

***

[14]
# Ho2ScPd

An optimized crystal structure of Ho2ScPd (GGA-PBE, Alexandria via LeMat-Bulk).

Output
distance to the lowest polymorph of the same formula: 3.4 kJ per mole of atoms
space group: Cmm2, No. 35
formation enthalpy at 0 K: -404 meV/atom

a b c (Å): 3.478 3.478 8.131
angles (deg): 90.00 90.00 90.26
Positions (direct):
Ho: 0.000 0.000 0.000
Ho: 0.500 0.500 0.313
Sc: 0.500 0.500 0.712
Pd: 0.000 0.000 0.531

***

[15]
# Tl3VTe3

An optimized crystal structure of Tl3VTe3 (GGA-PBE, Alexandria via LeMat-Bulk).

Output
formation energy (no corrections): -1.54 eV/f.u.
space group: C2/m, No. 12

a b c (Å): 7.539 7.539 9.502
angles (deg): 98.10 98.10 112.87
Positions (direct):
Tl: 0.149 0.851 0.000
Tl: 0.289 0.711 0.500
Tl: 0.387 0.387 0.122
Tl: 0.613 0.613 0.878
Tl: 0.711 0.289 0.500
Tl: 0.851 0.149 0.000
V: 0.137 0.137 0.652
V: 0.863 0.863 0.348
Te: 0.128 0.461 0.783
Te: 0.186 0.186 0.388
Te: 0.461 0.128 0.783
Te: 0.539 0.872 0.217
Te: 0.814 0.814 0.612
Te: 0.872 0.539 0.217

***

[16]
# CeDy6Y3Tm2

An optimized crystal structure of CeDy6Y3Tm2 (GGA-PBE, Alexandria via LeMat-Bulk).

Output
space group: C2/m, No. 12
formation enthalpy at 0 K: 39 meV/atom

a b c (Å): 6.132 6.132 11.749
angles (deg): 94.99 94.99 119.98
Positions (direct):
Ce: 0.000 0.000 0.000
Dy: 0.083 0.414 0.248
Dy: 0.249 0.249 0.752
Dy: 0.414 0.083 0.248
Dy: 0.586 0.917 0.752
Dy: 0.751 0.751 0.248
Dy: 0.917 0.586 0.752
Y: 0.168 0.832 0.500
Y: 0.500 0.500 0.500
Y: 0.832 0.168 0.500
Tm: 0.333 0.667 0.000
Tm: 0.667 0.333 0.000

***

[17]
# Mo2Ru

An optimized crystal structure of Mo2Ru (GGA-PBE, Alexandria via LeMat-Bulk).

Output
distance to the lowest polymorph of the same formula: 16.7 kJ per mole of atoms
space group: P-3m1, No. 164
formation enthalpy at 0 K: 181 meV/atom

a b c (Å): 2.772 2.772 6.914
angles (deg): 90.00 90.00 120.00
Positions (direct):
Mo: 0.333 0.667 0.179
Mo: 0.667 0.333 0.821
Ru: 0.000 0.000 0.500

***

[18]
# Tb2NdWN4

An optimized crystal structure of Tb2NdWN4 (GGA-PBE, Alexandria via LeMat-Bulk).

Output
formation energy (no corrections): -8.75 eV/f.u.
space group: Cmcm, No. 63

a b c (Å): 6.205 6.205 12.011
angles (deg): 90.00 90.00 147.85
Positions (direct):
Tb: 0.130 0.870 0.538
Tb: 0.130 0.870 0.962
Tb: 0.870 0.130 0.038
Tb: 0.870 0.130 0.462
Nd: 0.407 0.593 0.750
Nd: 0.593 0.407 0.250
W: 0.334 0.666 0.250
W: 0.666 0.334 0.750
N: 0.066 0.934 0.750
N: 0.237 0.763 0.123
N: 0.237 0.763 0.377
N: 0.500 0.500 0.000
N: 0.500 0.500 0.500
N: 0.763 0.237 0.623
N: 0.763 0.237 0.877
N: 0.934 0.066 0.250

***

[19]
# Tl2TeHO4

An optimized crystal structure of Tl2TeHO4 (GGA-PBE, Alexandria via LeMat-Bulk).

Output
VASP energy: -69.24 eV per cell
space group: C2/c, No. 15

a b c (Å): 6.565 6.565 6.694
angles (deg): 102.36 102.36 108.76
Positions (direct):
Tl: 0.000 0.000 0.000
Tl: 0.000 0.000 0.500
Tl: 0.000 0.500 0.000
Tl: 0.500 0.000 0.500
Te: 0.500 0.500 0.000
Te: 0.500 0.500 0.500
H: 0.000 0.500 0.500
H: 0.500 0.000 0.000
O: 0.171 0.244 0.830
O: 0.190 0.587 0.464
O: 0.244 0.171 0.330
O: 0.413 0.810 0.036
O: 0.587 0.190 0.964
O: 0.756 0.829 0.670
O: 0.810 0.413 0.536
O: 0.829 0.756 0.170